(1)
ErTmSc: relaxed, GGA-PBE.

Unit cell a=3.369 b=5.389 c=5.389 alpha=120.00 beta=90.00 gamma=90.00
Fractional coordinates of all 3 atoms:
Tm1 0.167 0.000 0.000
Sc1 0.167 0.333 0.667
Er1 0.667 0.667 0.333

## Properties
Calculated formation energy: 76 meV per atom
Space-group type: P-6m2

***

(2)
AsP2HS: relaxed, GGA-PBE.

Unit cell a=3.536 b=3.536 c=6.752 alpha=90.00 beta=90.00 gamma=90.00
Fractional coordinates of all 5 atoms:
As1 0.500 0.500 0.500
H1 0.000 0.000 0.000
S1 0.000 0.000 0.500
P1 0.500 0.000 0.000
P2 0.000 0.500 0.000

## Properties
VASP energy: -3.861 eV/atom
Space-group type: P4/mmm

***

(3)
KRb3Cr2Cl9: relaxed, GGA-PBE.

Unit cell a=7.193 b=7.193 c=9.770 alpha=90.00 beta=90.00 gamma=120.00
Last column: magnetic moment on the atom in μB.
Fractional coordinates of all 15 atoms:
K1 0.000 0.000 0.500  0.00
Cl1 0.500 0.500 0.000  -0.02
Cl2 0.176 0.824 0.286  -0.01
Rb1 0.333 0.667 0.716  0.00
Cr1 0.333 0.667 0.152  3.25
Cl3 0.824 0.176 0.714  -0.01
Cl4 0.648 0.824 0.286  -0.01
Rb2 0.000 0.000 0.000  0.00
Cl5 0.176 0.352 0.286  -0.01
Cl6 0.352 0.176 0.714  -0.01
Cr2 0.667 0.333 0.848  3.25
Cl7 0.000 0.500 0.000  -0.02
Cl8 0.500 0.000 0.000  -0.02
Rb3 0.667 0.333 0.284  0.00
Cl9 0.824 0.648 0.714  -0.01

## Properties
VASP energy: -4.189 eV/atom
Space-group type: P-3m1

***

(4)
Rb2In4GaAu3: relaxed, GGA-PBE.

Unit cell a=5.043 b=5.043 c=11.159 alpha=90.00 beta=90.00 gamma=90.00
Fractional coordinates of all 10 atoms:
Au1 0.000 0.500 0.123
Au2 0.500 0.000 0.877
In1 0.500 0.500 0.000
Ga1 0.500 0.500 0.500
In2 0.000 0.500 0.377
Rb1 0.500 0.000 0.257
In3 0.000 0.000 0.000
Rb2 0.000 0.500 0.743
In4 0.500 0.000 0.623
Au3 0.000 0.000 0.500

## Properties
Calculated formation energy: -235 meV per atom
Space-group type: P-4m2